[1]
Here is Pu2ThTc9 after structural relaxation from Alexandria. Energies are from PBE-GGA.

Values from the calculation:
Its formation energy is 0.051 eV/atom. The calculation puts the density of states at the Fermi level at 23.67 states/eV per cell. As for the total magnetization: 8.99 μB/f.u. The calculation puts the total energy at -10.730 eV per atom.

Cell lengths 5.200, 5.200, 9.653 Å; angles 71.41, 71.41, 63.91 degrees
Positions (direct):
Pu  0.851  0.851  0.432
Pu  0.149  0.149  0.568
Tc  0.089  0.593  0.746
Tc  0.500  0.500  0.500
Tc  0.911  0.407  0.254
Tc  0.593  0.089  0.746
Tc  0.687  0.687  0.006
Tc  0.313  0.313  0.994
Tc  0.407  0.911  0.254
Tc  0.595  0.595  0.756
Tc  0.405  0.405  0.244
Th  0.000  0.000  0.000


[2]
Here is FePt4W after structural relaxation from Alexandria. Energies are from PBE-GGA.

Values from the calculation:
Its formation energy is 0.020 eV/atom. The calculation puts the density of states at the Fermi level at 3.46 states/eV per cell. As for the total magnetization: 3.69 μB/f.u. The calculation puts the total energy at -7.576 eV per atom.

Cell lengths 4.087, 4.456, 6.859 Å; angles 84.14, 72.67, 62.70 degrees
Positions (direct):
Pt  0.118  0.143  0.621
Pt  0.625  0.632  0.117
Pt  0.882  0.857  0.379
Pt  0.375  0.368  0.883
W  0.500  0.500  0.500
Fe  0.000  0.000  0.000


[3]
Here is LiBe2V2 after structural relaxation from Alexandria. Energies are from PBE-GGA.

Values from the calculation:
Its formation energy is 0.255 eV/atom. The calculation puts the density of states at the Fermi level at 6.78 states/eV per cell. As for the total magnetization: 0.00 μB/f.u. The calculation puts the total energy at -5.266 eV per atom.

Cell lengths 6.509, 6.509, 2.738 Å; angles 90.00, 90.00, 90.00 degrees
Positions (direct):
Li  0.500  0.500  0.000
Li  0.000  0.000  0.000
V  0.177  0.677  0.500
V  0.323  0.177  0.500
V  0.677  0.823  0.500
V  0.823  0.323  0.500
Be  0.615  0.115  0.000
Be  0.885  0.615  0.000
Be  0.385  0.885  0.000
Be  0.115  0.385  0.000


[4]
Here is Y4As after structural relaxation from Alexandria. Energies are from PBE-GGA.

Values from the calculation:
Its formation energy is -0.119 eV/atom. The calculation puts the density of states at the Fermi level at 7.20 states/eV per cell. As for the total magnetization: 2.65 μB/f.u. The calculation puts the total energy at -6.220 eV per atom.

Cell lengths 5.890, 5.890, 5.890 Å; angles 109.47, 109.47, 109.47 degrees
Positions (direct):
Y  0.500  0.500  0.500
Y  0.000  0.000  0.500
Y  0.500  0.000  0.000
Y  0.000  0.500  0.000
As  0.000  0.000  0.000


Copy entry 3 word for word.
Here is LiBe2V2 after structural relaxation from Alexandria. Energies are from PBE-GGA.

Values from the calculation:
Its formation energy is 0.255 eV/atom. The calculation puts the density of states at the Fermi level at 6.78 states/eV per cell. As for the total magnetization: 0.00 μB/f.u. The calculation puts the total energy at -5.266 eV per atom.

Cell lengths 6.509, 6.509, 2.738 Å; angles 90.00, 90.00, 90.00 degrees
Positions (direct):
Li  0.500  0.500  0.000
Li  0.000  0.000  0.000
V  0.177  0.677  0.500
V  0.323  0.177  0.500
V  0.677  0.823  0.500
V  0.823  0.323  0.500
Be  0.615  0.115  0.000
Be  0.885  0.615  0.000
Be  0.385  0.885  0.000
Be  0.115  0.385  0.000


> What is the formula in the first record?

Pu2ThTc9


> What is the formula in the fourth record?

Y4As